Record 1
Sr2LiF6: relaxed, GGA-PBE.

Structure (CIF):
```
data_Sr2LiF6
_chemical_formula_sum 'Sr4 Li2 F12'
_symmetry_space_group_name_H-M 'P 1 21/c 1'
_symmetry_Int_Tables_number 14
_symmetry_space_group_name_Hall '-P 2ybc'
_cell_length_a 4.8160
_cell_length_b 6.7860
_cell_length_c 8.9841
_cell_angle_alpha 90.00
_cell_angle_beta 119.29
_cell_angle_gamma 90.00
loop_
_atom_site_label
_atom_site_fract_x
_atom_site_fract_y
_atom_site_fract_z
Sr1 0.2089 0.1130 0.2653
Li1 0.5000 0.0000 0.0000
F1 0.1174 0.1489 0.9595
F2 0.3191 0.7049 0.9428
F3 0.3308 0.0298 0.7535
```

DFT total energy in eV per cell: -90.70
Raw formation energy in eV per atom: -3.205



Record 2
SbIrRh2: relaxed, GGA-PBE.

Structure (CIF):
```
data_SbIrRh2
_chemical_formula_sum 'Sb1 Ir1 Rh2'
_symmetry_space_group_name_H-M 'P 4/m m m'
_symmetry_Int_Tables_number 123
_symmetry_space_group_name_Hall '-P 4 2'
_cell_length_a 2.9845
_cell_length_b 2.9845
_cell_length_c 7.2129
_cell_angle_alpha 90.00
_cell_angle_beta 90.00
_cell_angle_gamma 90.00
loop_
_atom_site_label
_atom_site_fract_x
_atom_site_fract_y
_atom_site_fract_z
Sb1 0.0000 0.0000 0.0000
Ir1 0.0000 0.0000 0.5000
Rh1 0.5000 0.5000 0.2542
```

DFT total energy in eV per cell: -27.14
Raw formation energy in eV per atom: 0.137



Record 3
ZrPaSe4: relaxed, GGA-PBE.

Structure (CIF):
```
data_ZrPaSe4
_chemical_formula_sum 'Zr2 Pa2 Se8'
_symmetry_space_group_name_H-M 'C 1 2/m 1'
_symmetry_Int_Tables_number 12
_symmetry_space_group_name_Hall '-C 2y'
_cell_length_a 13.8143
_cell_length_b 3.9911
_cell_length_c 6.8602
_cell_angle_alpha 90.00
_cell_angle_beta 98.56
_cell_angle_gamma 90.00
loop_
_atom_site_label
_atom_site_fract_x
_atom_site_fract_y
_atom_site_fract_z
Zr1 0.0000 0.0000 0.0000
Pa1 0.0000 0.5000 0.5000
Se1 0.1135 0.5000 0.8760
Se2 0.1168 0.0000 0.3576
```

Polymorph energy (0 for the lowest one) in meV per atom: 0
DFT total energy in eV per cell: -79.93
Raw formation energy in eV per atom: -1.331



Record 4
ZnSbBr4: relaxed, GGA-PBE.

Structure (CIF):
```
data_ZnSbBr4
_chemical_formula_sum 'Zn4 Sb4 Br16'
_symmetry_space_group_name_H-M 'F -4 3 m'
_symmetry_Int_Tables_number 216
_symmetry_space_group_name_Hall 'F -4 2 3'
_cell_length_a 8.8560
_cell_length_b 8.8560
_cell_length_c 8.8560
_cell_angle_alpha 90.00
_cell_angle_beta 90.00
_cell_angle_gamma 90.00
loop_
_atom_site_label
_atom_site_fract_x
_atom_site_fract_y
_atom_site_fract_z
Zn1 0.0000 0.0000 0.0000
Sb1 0.2500 0.2500 0.2500
Br1 0.1249 0.1249 0.6249
```

DFT total energy in eV per cell: -32.35
Raw formation energy in eV per atom: 0.667